The following is a PBE calculation of crystalline Sm2YBiC at its relaxed geometry, from Alexandria.

a = 4.9122 Å, b = 5.0690 Å, c = 5.0690 Å
α = 90.00°, β = 90.00°, γ = 90.00°
Last column: nearest neighbours and their distance in Å.
Element x y z (fractional)
1 Sm 0.0000 0.5000 0.0000  2 C 2.53
2 Sm 0.0000 0.0000 0.5000  2 C 2.53
3 Bi 0.5000 0.5000 0.5000  8 Sm 3.53, 4 Y 3.58
4 Y 0.5000 0.0000 0.0000  2 C 2.46
5 C 0.0000 0.0000 0.0000  2 Y 2.46, 4 Sm 2.53

Summary:
ΔE_f	-0.51	eV/atom
space group	P4/mmm, No. 123
DOS at the Fermi energy	0.62	states/eV per atom
total energy	-6.3087	eV/atom

The following is a PBE calculation of crystalline SnBiC3 at its relaxed geometry, from Alexandria.

a = 4.5398 Å, b = 4.5398 Å, c = 4.5398 Å
α = 90.00°, β = 90.00°, γ = 90.00°
Last column: nearest neighbours and their distance in Å.
Element x y z (fractional)
1 C 0.0000 0.0000 0.5000  2 Bi 2.27
2 Bi 0.0000 0.0000 0.0000  6 C 2.27
3 Sn 0.5000 0.5000 0.5000  12 C 3.21
4 C 0.5000 0.0000 0.0000  2 Bi 2.27
5 C 0.0000 0.5000 0.0000  2 Bi 2.27

Summary:
ΔE_f	3.03	eV/atom
space group	Pm-3m, No. 221
DOS at the Fermi energy	0.85	states/eV per atom
total energy	-4.0784	eV/atom

The following is a PBE calculation of crystalline Sn3BiC at its relaxed geometry, from Alexandria.

a = 4.9426 Å, b = 4.9426 Å, c = 4.9426 Å
α = 90.00°, β = 90.00°, γ = 90.00°
Last column: nearest neighbours and their distance in Å.
Element x y z (fractional)
1 C 0.0000 0.0000 0.0000  6 Sn 2.47
2 Sn 0.5000 0.0000 0.0000  2 C 2.47
3 Sn 0.0000 0.5000 0.0000  2 C 2.47
4 Sn 0.0000 0.0000 0.5000  2 C 2.47
5 Bi 0.5000 0.5000 0.5000  12 Sn 3.49

Summary:
ΔE_f	0.73	eV/atom
space group	Pm-3m, No. 221
DOS at the Fermi energy	0.66	states/eV per atom
total energy	-4.2951	eV/atom

The following is a PBE calculation of crystalline SnBiC3 at its relaxed geometry, from Alexandria.

a = 4.3570 Å, b = 4.3570 Å, c = 4.3570 Å
α = 90.00°, β = 90.00°, γ = 90.00°
Last column: nearest neighbours and their distance in Å.
Element x y z (fractional)
1 C 0.0000 0.5000 0.0000  2 Sn 2.18
2 Bi 0.5000 0.5000 0.5000  12 C 3.08
3 C 0.0000 0.0000 0.5000  2 Sn 2.18
4 Sn 0.0000 0.0000 0.0000  6 C 2.18
5 C 0.5000 0.0000 0.0000  2 Sn 2.18

Summary:
ΔE_f	2.64	eV/atom
space group	Pm-3m, No. 221
DOS at the Fermi energy	0.80	states/eV per atom
total energy	-4.4748	eV/atom

The following is a PBE calculation of crystalline Sn2BiC at its relaxed geometry, from Alexandria.

a = 5.1266 Å, b = 5.1266 Å, c = 5.1266 Å
α = 60.00°, β = 60.00°, γ = 60.00°
Last column: nearest neighbours and their distance in Å.
Element x y z (fractional)
1 Sn 0.7500 0.7500 0.7500  4 Bi 3.14, 4 C 3.14
2 C 0.0000 0.0000 0.0000  8 Sn 3.14
3 Bi 0.5000 0.5000 0.5000  8 Sn 3.14
4 Sn 0.2500 0.2500 0.2500  4 Bi 3.14, 4 C 3.14

Summary:
ΔE_f	1.44	eV/atom
space group	Fm-3m, No. 225
DOS at the Fermi energy	0.65	states/eV per atom
total energy	-3.8423	eV/atom

The following is a PBE calculation of crystalline Sn2BiC at its relaxed geometry, from Alexandria.

a = 6.5982 Å, b = 6.5982 Å, c = 6.5962 Å
α = 59.99°, β = 59.99°, γ = 90.00°
Last column: nearest neighbours and their distance in Å.
Element x y z (fractional)
1 Sn 0.3750 0.4757 0.7500  2 C 2.25
2 C 0.2500 0.7500 0.5000  4 Sn 2.25
3 Bi 0.0000 0.0000 0.0000  4 Sn 3.07
4 C 0.5000 0.5000 0.0000  4 Sn 2.25
5 Bi 0.7500 0.2500 0.5000  4 Sn 3.07
6 Sn 0.8750 0.7743 0.7500  2 C 2.25
7 Sn 0.2257 0.6250 0.2500  2 C 2.25
8 Sn 0.5243 0.1250 0.2500  2 C 2.25

Summary:
ΔE_f	0.71	eV/atom
space group	I-42d, No. 122
DOS at the Fermi energy	0.49	states/eV per atom
total energy	-4.5689	eV/atom

The following is a PBE calculation of crystalline Sn3BiC at its relaxed geometry, from Alexandria.

a = 5.9725 Å, b = 5.9725 Å, c = 5.9725 Å
α = 90.00°, β = 90.00°, γ = 90.00°
Last column: nearest neighbours and their distance in Å.
Element x y z (fractional)
1 Sn 0.5000 0.0000 0.0000  2 Bi 2.99
2 Sn 0.0000 0.0000 0.5000  2 Bi 2.99
3 C 0.5000 0.5000 0.5000  12 Sn 4.22
4 Sn 0.0000 0.5000 0.0000  2 Bi 2.99
5 Bi 0.0000 0.0000 0.0000  6 Sn 2.99

Summary:
ΔE_f	2.07	eV/atom
space group	Pm-3m, No. 221
DOS at the Fermi energy	0.88	states/eV per atom
total energy	-2.9559	eV/atom

The following is a PBE calculation of crystalline Tm4SnBiC at its relaxed geometry, from Alexandria.

a = 6.7320 Å, b = 6.7297 Å, c = 8.5440 Å
α = 90.00°, β = 113.20°, γ = 90.00°
Last column: nearest neighbours and their distance in Å.
Element x y z (fractional)
1 Tm 0.5000 0.5000 0.5000  2 C 2.38
2 Bi 0.6042 0.7500 0.2085  9 Tm 3.17-3.37
3 Tm 0.0932 0.7500 0.1863  1 C 2.45
4 Tm 0.5000 0.0000 0.5000  2 C 2.38
5 Sn 0.1080 0.2500 0.2160  9 Tm 3.16-3.37
6 Tm 0.0000 0.5000 0.5000  2 C 2.38
7 Tm 0.0000 0.0000 0.5000  2 C 2.38
8 C 0.7510 0.2500 0.5019  6 Tm 2.38-2.45
9 Tm 0.5978 0.2500 0.1956  1 C 2.41
10 Tm 0.9068 0.2500 0.8137  1 C 2.45
11 Tm 0.4022 0.7500 0.8044  1 C 2.41
12 Bi 0.3958 0.2500 0.7915  9 Tm 3.17-3.37
13 Sn 0.8920 0.7500 0.7840  9 Tm 3.16-3.37
14 C 0.2490 0.7500 0.4981  6 Tm 2.38-2.45

Summary:
ΔE_f	-0.67	eV/atom
space group	Cmcm, No. 63
DOS at the Fermi energy	0.47	states/eV per atom
total energy	-5.6642	eV/atom

The following is a PBE calculation of crystalline Y4SnBiC at its relaxed geometry, from Alexandria.

a = 6.8426 Å, b = 6.8409 Å, c = 8.6808 Å
α = 90.00°, β = 113.21°, γ = 90.00°
Last column: nearest neighbours and their distance in Å.
Element x y z (fractional)
1 Y 0.9085 0.2500 0.8171  1 C 2.52
2 Bi 0.3948 0.2500 0.7896  9 Y 3.20-3.43
3 Sn 0.1087 0.2500 0.2174  9 Y 3.19-3.43
4 Y 0.0000 0.0000 0.5000  2 C 2.42
5 Y 0.0915 0.7500 0.1829  1 C 2.52
6 Y 0.5000 0.5000 0.5000  2 C 2.42
7 Y 0.5956 0.2500 0.1912  1 C 2.48
8 Bi 0.6052 0.7500 0.2104  9 Y 3.20-3.43
9 Sn 0.8913 0.7500 0.7826  9 Y 3.19-3.43
10 Y 0.0000 0.5000 0.5000  2 C 2.42
11 Y 0.5000 0.0000 0.5000  2 C 2.42
12 C 0.7508 0.2500 0.5016  6 Y 2.42-2.52
13 C 0.2492 0.7500 0.4984  6 Y 2.42-2.52
14 Y 0.4044 0.7500 0.8088  1 C 2.48

Summary:
ΔE_f	-0.69	eV/atom
space group	Cmcm, No. 63
DOS at the Fermi energy	0.55	states/eV per atom
total energy	-6.8291	eV/atom

The following is a PBE calculation of crystalline SrBi2C at its relaxed geometry, from Alexandria.

a = 7.5747 Å, b = 7.5747 Å, c = 6.7185 Å
α = 55.69°, β = 55.69°, γ = 90.00°
Last column: nearest neighbours and their distance in Å.
Element x y z (fractional)
1 Bi 0.8750 0.7624 0.7500  2 C 2.39
2 Sr 0.7500 0.2500 0.5000  8 Bi 3.49-3.73
3 Bi 0.3750 0.4876 0.7500  2 C 2.39
4 Sr 0.0000 0.0000 0.0000  8 Bi 3.49-3.73
5 C 0.5000 0.5000 0.0000  4 Bi 2.39
6 Bi 0.2376 0.6250 0.2500  2 C 2.39
7 Bi 0.5124 0.1250 0.2500  2 C 2.39
8 C 0.2500 0.7500 0.5000  4 Bi 2.39

Summary:
ΔE_f	0.52	eV/atom
space group	I-42d, No. 122
DOS at the Fermi energy	0.26	states/eV per atom
total energy	-4.1435	eV/atom

The following is a PBE calculation of crystalline SrBiC2 at its relaxed geometry, from Alexandria.

a = 6.5060 Å, b = 6.5060 Å, c = 5.9990 Å
α = 57.16°, β = 57.16°, γ = 90.00°
Last column: nearest neighbours and their distance in Å.
Element x y z (fractional)
1 C 0.8750 0.9266 0.7500  2 Bi 2.29
2 Bi 0.7500 0.2500 0.5000  4 C 2.29
3 C 0.3750 0.3234 0.7500  2 Bi 2.29
4 C 0.0734 0.6250 0.2500  2 Bi 2.29
5 Sr 0.5000 0.5000 0.0000  4 C 2.72
6 C 0.6766 0.1250 0.2500  2 Bi 2.29
7 Sr 0.2500 0.7500 0.5000  4 C 2.72
8 Bi 0.0000 0.0000 0.0000  4 C 2.29

Summary:
ΔE_f	1.29	eV/atom
space group	I-42d, No. 122
DOS at the Fermi energy	0.56	states/eV per atom
total energy	-4.7154	eV/atom

The following is a PBE calculation of crystalline SrBi2C2 at its relaxed geometry, from Alexandria.

a = 4.6524 Å, b = 4.6524 Å, c = 6.1583 Å
α = 67.81°, β = 67.81°, γ = 90.00°
Last column: nearest neighbours and their distance in Å.
Element x y z (fractional)
1 C 0.2500 0.7500 0.5000  4 Bi 2.46
2 Sr 0.0000 0.0000 0.0000  10 Bi 3.42-3.74, 8 C 3.49
3 Bi 0.6719 0.6719 0.6563  4 C 2.46
4 C 0.7500 0.2500 0.5000  4 Bi 2.46
5 Bi 0.3281 0.3281 0.3437  4 C 2.46

Summary:
ΔE_f	1.10	eV/atom
space group	I4/mmm, No. 139
DOS at the Fermi energy	0.42	states/eV per atom
total energy	-4.4798	eV/atom

Question: What is the DOS at the Fermi energy in the tenth record?
Answer: 0.26 states/eV per atom

Please write out number 3 again, unchanged.
The following is a PBE calculation of crystalline Sn3BiC at its relaxed geometry, from Alexandria.

a = 4.9426 Å, b = 4.9426 Å, c = 4.9426 Å
α = 90.00°, β = 90.00°, γ = 90.00°
Last column: nearest neighbours and their distance in Å.
Element x y z (fractional)
1 C 0.0000 0.0000 0.0000  6 Sn 2.47
2 Sn 0.5000 0.0000 0.0000  2 C 2.47
3 Sn 0.0000 0.5000 0.0000  2 C 2.47
4 Sn 0.0000 0.0000 0.5000  2 C 2.47
5 Bi 0.5000 0.5000 0.5000  12 Sn 3.49

Summary:
ΔE_f	0.73	eV/atom
space group	Pm-3m, No. 221
DOS at the Fermi energy	0.66	states/eV per atom
total energy	-4.2951	eV/atom